A plane-wave DFT calculation with SCAN was carried out for Ce3NbSb5 at its PBEsol-relaxed geometry.

* energy relative to the elements, uncorrected: -919.4 meV per atom

Lattice parameters (Å, degrees): 6.124 9.179 9.179 120.00 90.00 90.00
Each line ends with the local moment (μB).
Positions (direct):
Ce1 0.750 0.619 0.000  0.78
Ce2 0.250 0.000 0.381  0.78
Sb1 0.000 0.667 0.333  -0.02
Sb2 0.750 0.000 0.265  -0.03
Sb3 0.500 0.333 0.667  -0.02
Ce3 0.750 0.381 0.381  0.78
Sb4 0.250 0.265 0.265  -0.03
Nb1 0.000 0.000 0.000  0.35
Nb2 0.500 0.000 0.000  0.35
Sb5 0.500 0.667 0.333  -0.02
Sb6 0.750 0.735 0.735  -0.03
Sb7 0.000 0.333 0.667  -0.02
Ce4 0.250 0.619 0.619  0.78
Sb8 0.750 0.265 0.000  -0.03
Ce5 0.750 0.000 0.619  0.78
Ce6 0.250 0.381 0.000  0.78
Sb9 0.250 0.735 0.000  -0.03
Sb10 0.250 0.000 0.735  -0.03